The following is a PBE calculation of a geometry-optimized Li2Ho2TmIn5 structure, from Alexandria.

POSCAR file:
```
Li2Ho2TmIn5
1.0
-4.345 0.516 0.435
0.543 -3.531 9.613
1.479 9.553 3.426
In Li Ho Tm
10 4 4 2
Cartesian
-1.157 1.818 8.507 In
-1.513 1.520 5.304 In
-1.433 5.035 1.930 In
-1.358 -1.000 9.840 In
-0.965 7.538 3.635 In
-1.166 4.721 4.967 In
-1.901 -1.507 5.024 In
-0.810 5.019 8.171 In
-0.374 6.315 10.979 In
-1.948 0.223 2.495 In
1.041 0.525 9.766 Li
0.981 5.497 3.273 Li
1.638 6.222 8.973 Li
0.384 -0.200 4.066 Li
0.576 2.489 2.795 Ho
1.446 3.533 10.244 Ho
0.625 -0.713 7.086 Ho
1.397 6.735 5.953 Ho
0.000 0.000 0.000 Tm
1.011 3.011 6.520 Tm
```

Values from the calculation:
For the energy relative to the elements, the calculation gives -0.36 eV/atom. Its space group is P4/mbm (127). The total magnetization is 0.000 μB per cell.


The following is a PBE calculation of a geometry-optimized BeW2Se structure, from Alexandria.

POSCAR file:
```
BeW2Se
1.0
-0.710 1.764 2.340
-1.235 -2.364 1.408
5.467 -1.289 2.631
Be Se W
1 1 2
Cartesian
0.394 -0.622 2.532 Be
3.128 -1.266 3.847 Se
2.563 -0.604 1.233 W
0.171 -0.040 0.082 W
```

Values from the calculation:
Its space group is P4/mmm (123). The total magnetization is 0.000 μB per cell. The energy above the most stable polymorph in this dataset comes out at 0.237 eV per atom.


The following is a PBE calculation of a geometry-optimized Li3Zn2Ga structure, from Alexandria.

POSCAR file:
```
Li3Zn2Ga
1.0
-3.589 -3.580 -0.591
3.842 -3.228 0.926
-1.342 -0.871 6.774
Zn Li Ga
4 6 2
Cartesian
1.515 -4.458 3.143 Zn
1.796 -2.609 1.341 Zn
-2.604 -3.221 3.966 Zn
-2.884 -5.070 5.768 Zn
-0.563 -1.712 -0.032 Li
-0.342 -4.032 5.358 Li
-0.526 -5.967 7.140 Li
0.012 -2.088 3.610 Li
-1.101 -5.590 3.499 Li
-0.746 -3.647 1.751 Li
-3.220 -3.764 1.246 Ga
2.131 -3.915 5.863 Ga
```

Values from the calculation:
For the energy relative to the elements, the calculation gives -0.18 eV/atom. Its space group is C2/c (15). The total magnetization is 0.000 μB per cell. The energy above the most stable polymorph in this dataset comes out at 0.080 eV per atom.


The following is a PBE calculation of a geometry-optimized Sr3GeBi structure, from Alexandria.

POSCAR file:
```
Sr3GeBi
1.0
4.498 0.000 0.000
-2.249 8.994 -0.175
0.000 -0.530 9.283
Sr Ge Bi
6 2 2
Cartesian
-0.075 7.402 5.793 Sr
2.174 2.222 7.203 Sr
2.174 5.121 3.635 Sr
-0.074 5.037 0.075 Sr
-0.074 1.336 3.628 Sr
2.175 8.823 0.086 Sr
2.173 5.492 6.981 Ge
-0.074 4.131 6.008 Ge
2.175 2.581 1.277 Bi
-0.074 7.577 2.436 Bi
```

Values from the calculation:
For the energy relative to the elements, the calculation gives -0.63 eV/atom. Its space group is Cm (8). The total magnetization is 0.001 μB per cell. The energy above the most stable polymorph in this dataset comes out at 0.000 eV per atom.


The following is a PBE calculation of a geometry-optimized SmTh2In structure, from Alexandria.

POSCAR file:
```
SmTh2In
1.0
-1.611 -0.228 4.806
4.622 -0.079 1.546
0.005 4.869 0.233
Th In Sm
2 1 1
Cartesian
2.311 -0.040 0.773 Th
0.003 2.434 0.117 Th
-0.806 -0.114 2.403 In
1.508 2.281 3.292 Sm
```

Values from the calculation:
For the energy relative to the elements, the calculation gives -0.19 eV/atom. Its space group is P4/mmm (123). The total magnetization is 0.000 μB per cell. The energy above the most stable polymorph in this dataset comes out at 0.000 eV per atom.


The following is a PBE calculation of a geometry-optimized Pm2Nd5Mg structure, from Alexandria.

POSCAR file:
```
Pm2Nd5Mg
1.0
7.233 0.001 -0.002
0.001 7.233 -0.001
-3.618 -3.617 5.096
Nd Pm Mg
5 2 1
Cartesian
1.808 -1.809 4.810 Nd
3.617 3.617 2.262 Nd
-1.809 1.808 4.811 Nd
-1.810 -1.809 4.811 Nd
1.808 1.809 4.810 Nd
3.616 0.000 2.263 Pm
0.000 3.616 2.263 Pm
0.000 0.000 2.262 Mg
```

Values from the calculation:
For the energy relative to the elements, the calculation gives 0.00 eV/atom. Its space group is I4/mmm (139). The total magnetization is 0.000 μB per cell. The energy above the most stable polymorph in this dataset comes out at 0.000 eV per atom.